# 1
A relaxed ReAsSe4 crystal. Source: Alexandria via LeMat-Bulk, functional PBE-GGA.

## Properties
Raw total energy = -5.1779 eV/atom
Distance to the lowest polymorph of the same formula = 0.00 eV per formula unit
Crystal system = monoclinic
Uncorrected formation energy = -5 meV/atom

abc: 7.3411 7.3411 6.9656
angles: 96.53 96.53 51.61
With the nearest neighbours (Å) after each atom.
Fractional positions:
1 Re 0.0656 0.9344 0.7500  6 Se 2.51-2.58, 1 As 2.67
2 Re 0.9344 0.0656 0.2500  6 Se 2.51-2.58, 1 As 2.67
3 As 0.3519 0.6481 0.2500  4 Se 2.54-2.78, 1 Re 2.67
4 As 0.6481 0.3519 0.7500  4 Se 2.54-2.78, 1 Re 2.67
5 Se 0.0600 0.2023 0.5443  2 Re 2.51-2.54
6 Se 0.2023 0.0600 0.0443  2 Re 2.51-2.54
7 Se 0.2548 0.5334 0.8791  2 As 2.54-2.78, 1 Re 2.58, 1 Se 2.84
8 Se 0.4666 0.7452 0.6209  2 As 2.54-2.78, 1 Re 2.58, 1 Se 2.84
9 Se 0.5334 0.2548 0.3791  2 As 2.54-2.78, 1 Re 2.58, 1 Se 2.84
10 Se 0.7452 0.4666 0.1209  2 As 2.54-2.78, 1 Re 2.58, 1 Se 2.84
11 Se 0.7977 0.9400 0.9557  2 Re 2.51-2.54
12 Se 0.9400 0.7977 0.4557  2 Re 2.51-2.54

***

# 2
A relaxed Re2AsSe crystal. Source: Alexandria via LeMat-Bulk, functional PBE-GGA.

## Properties
Raw total energy = -7.3638 eV/atom
Distance to the lowest polymorph of the same formula = 3.27 eV per formula unit
Crystal system = orthorhombic
Uncorrected formation energy = 894 meV/atom

abc: 3.0075 4.1599 5.1800
angles: 90.00 90.00 90.00
With the nearest neighbours (Å) after each atom.
Fractional positions:
1 Re 0.0000 0.0000 0.0000  4 Se 2.57
2 Re 0.5000 0.0000 0.5000  4 As 2.57
3 As 0.0000 0.5000 0.5000  4 Re 2.57
4 Se 0.5000 0.5000 0.0000  4 Re 2.57

***

# 3
A relaxed ReAs2Se crystal. Source: Alexandria via LeMat-Bulk, functional PBE-GGA.

## Properties
Raw total energy = -5.5502 eV/atom
Crystal system = orthorhombic
Uncorrected formation energy = 758 meV/atom

abc: 5.5776 7.6816 3.1976
angles: 90.00 90.00 90.00
With the nearest neighbours (Å) after each atom.
Fractional positions:
1 Re 0.0000 0.0000 0.0000  2 Se 2.79, 8 As 2.86
2 Re 0.5000 0.5000 0.0000  2 Se 2.79, 8 As 2.86
3 As 0.2500 0.2500 0.5000  2 As 2.79, 4 Se 2.86, 4 Re 2.86
4 As 0.2500 0.7500 0.5000  2 As 2.79, 4 Se 2.86, 4 Re 2.86
5 As 0.7500 0.2500 0.5000  2 As 2.79, 4 Re 2.86, 4 Se 2.86
6 As 0.7500 0.7500 0.5000  2 As 2.79, 4 Se 2.86, 4 Re 2.86
7 Se 0.0000 0.5000 0.0000  2 Re 2.79, 8 As 2.86
8 Se 0.5000 0.0000 0.0000  2 Re 2.79, 8 As 2.86

***

# 4
A relaxed ReAs2Se crystal. Source: Alexandria via LeMat-Bulk, functional PBE-GGA.

## Properties
Raw total energy = -6.1058 eV/atom
Crystal system = trigonal
Uncorrected formation energy = 202 meV/atom

abc: 3.2022 3.2022 26.2984
angles: 90.00 90.00 120.00
With the nearest neighbours (Å) after each atom.
Fractional positions:
1 Re 0.0000 0.0000 0.0000  3 Se 2.49, 3 As 2.65
2 Re 0.3333 0.6667 0.6667  3 Se 2.49, 3 As 2.65
3 Re 0.6667 0.3333 0.3333  3 Se 2.49, 3 As 2.65
4 As 0.0000 0.0000 0.4795  3 As 2.69
5 As 0.0000 0.0000 0.7387  3 Re 2.65, 3 As 2.69
6 As 0.3333 0.6667 0.1462  3 As 2.69
7 As 0.3333 0.6667 0.4054  3 Re 2.65, 3 As 2.69
8 As 0.6667 0.3333 0.0720  3 Re 2.65, 3 As 2.69
9 As 0.6667 0.3333 0.8128  3 As 2.69
10 Se 0.0000 0.0000 0.2699  3 Re 2.49
11 Se 0.3333 0.6667 0.9366  3 Re 2.49
12 Se 0.6667 0.3333 0.6033  3 Re 2.49

***

# 5
A relaxed Re2AsSe crystal. Source: Alexandria via LeMat-Bulk, functional PBE-GGA.

## Properties
Raw total energy = -7.4032 eV/atom
Distance to the lowest polymorph of the same formula = 3.11 eV per formula unit
Crystal system = tetragonal
Uncorrected formation energy = 854 meV/atom

abc: 5.6903 5.6903 10.5669
angles: 90.00 90.00 90.00
With the nearest neighbours (Å) after each atom.
Fractional positions:
1 Re 0.2475 0.2500 0.1250  2 Se 2.40, 2 As 2.42
2 Re 0.2500 0.7475 0.3750  2 Se 2.40, 2 As 2.42
3 Re 0.2500 0.7525 0.8750  2 Se 2.40, 2 As 2.42
4 Re 0.2525 0.2500 0.6250  2 Se 2.40, 2 As 2.42
5 Re 0.7475 0.7500 0.6250  2 Se 2.40, 2 As 2.42
6 Re 0.7500 0.2475 0.8750  2 Se 2.40, 2 As 2.42
7 Re 0.7500 0.2525 0.3750  2 Se 2.40, 2 As 2.42
8 Re 0.7525 0.7500 0.1250  2 Se 2.40, 2 As 2.42
9 As 0.0000 0.0000 0.5000  4 Re 2.42
10 As 0.0000 0.5000 0.7500  4 Re 2.42
11 As 0.5000 0.0000 0.2500  4 Re 2.42
12 As 0.5000 0.5000 0.0000  4 Re 2.42
13 Se 0.0000 0.0000 0.0000  4 Re 2.40
14 Se 0.0000 0.5000 0.2500  4 Re 2.40
15 Se 0.5000 0.0000 0.7500  4 Re 2.40
16 Se 0.5000 0.5000 0.5000  4 Re 2.40

***

# 6
A relaxed Re2AsSe crystal. Source: Alexandria via LeMat-Bulk, functional PBE-GGA.

## Properties
Raw total energy = -7.6668 eV/atom
Distance to the lowest polymorph of the same formula = 2.06 eV per formula unit
Crystal system = orthorhombic
Uncorrected formation energy = 591 meV/atom

abc: 3.0623 4.2941 9.5485
angles: 90.00 90.00 90.00
With the nearest neighbours (Å) after each atom.
Fractional positions:
1 Re 0.0000 0.0000 0.0000  4 Se 2.64, 2 As 2.64
2 Re 0.0000 0.5000 0.2336  4 As 2.64, 2 Se 2.68
3 Re 0.5000 0.0000 0.7336  4 As 2.64, 2 Se 2.68
4 Re 0.5000 0.5000 0.5000  4 Se 2.64, 2 As 2.64
5 As 0.0000 0.5000 0.7254  6 Re 2.64
6 As 0.5000 0.0000 0.2254  6 Re 2.64
7 Se 0.0000 0.0000 0.5031  6 Re 2.64-2.68
8 Se 0.5000 0.5000 0.0031  6 Re 2.64-2.68

***

# 7
A relaxed Re2AsSe crystal. Source: Alexandria via LeMat-Bulk, functional PBE-GGA.

## Properties
Raw total energy = -7.7994 eV/atom
Distance to the lowest polymorph of the same formula = 1.53 eV per formula unit
Crystal system = trigonal
Uncorrected formation energy = 458 meV/atom

abc: 2.9987 2.9987 23.8370
angles: 90.00 90.00 120.00
With the nearest neighbours (Å) after each atom.
Fractional positions:
1 Re 0.0000 0.0000 0.2488  3 As 2.61, 3 Se 2.66
2 Re 0.0000 0.0000 0.7512  3 As 2.61, 3 Se 2.66
3 Re 0.3333 0.6667 0.4179  3 As 2.61, 3 Se 2.66
4 Re 0.3333 0.6667 0.9154  3 As 2.61, 3 Se 2.66
5 Re 0.6667 0.3333 0.0846  3 As 2.61, 3 Se 2.66
6 Re 0.6667 0.3333 0.5821  3 As 2.61, 3 Se 2.66
7 As 0.0000 0.0000 0.5000  6 Re 2.61
8 As 0.3333 0.6667 0.1667  6 Re 2.61
9 As 0.6667 0.3333 0.8333  6 Re 2.61
10 Se 0.0000 0.0000 0.0000  6 Re 2.66
11 Se 0.3333 0.6667 0.6667  6 Re 2.66
12 Se 0.6667 0.3333 0.3333  6 Re 2.66

***

# 8
A relaxed Re2AsSe crystal. Source: Alexandria via LeMat-Bulk, functional PBE-GGA.

## Properties
Raw total energy = -7.3862 eV/atom
Distance to the lowest polymorph of the same formula = 3.18 eV per formula unit
Crystal system = orthorhombic
Uncorrected formation energy = 871 meV/atom

abc: 3.0279 5.1045 8.3742
angles: 90.00 90.00 90.00
With the nearest neighbours (Å) after each atom.
Fractional positions:
1 Re 0.0000 0.0000 0.2372  2 As 2.50, 2 Se 2.67
2 Re 0.0000 0.0000 0.7628  2 As 2.50, 2 Se 2.67
3 Re 0.5000 0.5000 0.2372  2 As 2.50, 2 Se 2.67
4 Re 0.5000 0.5000 0.7628  2 As 2.50, 2 Se 2.67
5 As 0.0000 0.5000 0.0000  4 Re 2.50
6 As 0.5000 0.0000 0.0000  4 Re 2.50
7 Se 0.0000 0.5000 0.5000  4 Re 2.67, 4 Se 2.97
8 Se 0.5000 0.0000 0.5000  4 Re 2.67, 4 Se 2.97